Entry 1
Material: AlHg2H2
Method: DFT, SCAN
State: PBEsol geometry

total magnetic moment: 0.0000 μB/atom

Structure (extended XYZ):
```
10
Lattice="3.737 0.000 0.000 0.000 6.909 0.000 0.000 0.000 6.909" Properties=species:S:1:pos:R:3 pbc="T T T"
H 1.869 2.390 5.844
H 1.869 5.844 4.519
H 1.869 4.519 1.065
H 1.869 1.065 2.390
Hg 0.000 2.393 5.848
Hg 0.000 5.848 4.515
Hg 0.000 4.515 1.061
Hg 0.000 1.061 2.393
Al 0.000 0.000 0.000
Al 0.000 3.454 3.454
```

---

Entry 2
Material: AlHg2H2
Method: DFT, SCAN
State: PBEsol geometry

total magnetic moment: 0.0000 μB/atom

Structure (extended XYZ):
```
5
Lattice="3.281 0.000 0.000 0.000 3.281 0.000 -1.641 -1.641 6.548" Properties=species:S:1:pos:R:3 pbc="T T T"
H 0.000 1.641 3.274
H 1.641 0.000 3.274
Hg 0.000 0.000 4.721
Hg 1.641 1.641 1.827
Al 0.000 0.000 0.000
```

---

What should be chosen as the least stable of them? Choose entry 2.

---

Entry 1
Material: LiMn3Al2H6O12
Method: DFT, SCAN
State: PBEsol geometry

total magnetic moment: 0.3333 μB/atom

Structure (extended XYZ):
```
48
Lattice="-2.251 -3.477 -3.997 7.303 0.093 -2.113 1.354 -5.485 8.165" Properties=species:S:1:pos:R:3 pbc="T T T"
Li 3.984 -4.963 0.060
Li 2.423 -3.906 1.995
Mn 3.372 -2.265 -4.067
Mn 4.497 -0.528 -2.069
Mn 1.910 -8.342 4.124
Mn 3.035 -6.605 6.122
Mn 0.000 0.000 0.000
Mn -1.125 -1.738 -1.999
Al 5.105 -3.257 1.996
Al -0.448 -4.481 2.084
Al 1.302 -5.613 0.059
Al 0.677 -2.743 4.082
H 6.315 -1.841 0.122
H 5.789 -5.713 1.848
H 5.256 -3.629 -1.852
H 3.573 -2.391 0.241
H 6.812 -4.042 3.721
H 2.286 -4.242 -1.841
H 4.121 -4.628 3.896
H -0.405 -4.828 -1.666
H 1.150 -5.241 3.907
H 2.834 -6.479 1.814
H 0.618 -3.157 0.206
H 0.092 -7.029 1.933
O 6.522 -2.627 0.712
O 5.989 -0.521 -0.842
O 5.613 -4.937 1.262
O 6.048 -7.152 2.837
O 4.861 -2.248 -2.849
O 3.792 -3.185 0.769
O 5.464 -4.419 -1.293
O 6.656 -3.273 3.122
O 7.172 -5.415 4.833
O 3.252 -7.783 2.881
O 2.032 -2.842 -2.815
O 2.472 -5.029 -1.273
O 3.935 -3.841 3.328
O 4.375 -6.028 4.869
O 3.155 -1.086 -0.827
O -0.249 -5.596 -1.067
O -0.765 -3.455 -2.778
O 1.545 -6.622 4.904
O 2.615 -5.684 1.286
O 0.943 -4.451 3.348
O 0.359 -1.717 -0.783
O 0.794 -3.933 0.793
O -0.115 -6.243 1.343
O 0.418 -8.349 2.897
```

---

Entry 2
Material: LiMn3Al2H6O12
Method: DFT, SCAN
State: PBEsol geometry

total magnetic moment: 0.3333 μB/atom

Structure (extended XYZ):
```
24
Lattice="-3.553 0.337 3.477 -0.213 -3.600 -3.438 6.204 -4.558 5.592" Properties=species:S:1:pos:R:3 pbc="T T T"
Li 1.219 -3.910 2.815
Mn 0.000 0.000 0.000
Mn -1.326 -2.287 -1.133
Mn -2.439 -0.975 1.171
Al 0.106 -2.598 5.120
Al 2.332 -5.223 0.510
H 3.576 -3.964 3.984
H 2.189 -6.358 2.798
H 1.024 -4.984 5.211
H 1.414 -2.837 0.419
H 0.249 -1.463 2.833
H -1.138 -3.857 1.646
O 3.091 -3.338 3.393
O 4.439 -5.063 5.027
O 1.666 -5.797 2.175
O 3.112 -7.352 3.893
O 0.468 -4.386 4.654
O 1.998 -6.039 6.199
O 0.440 -1.782 -0.569
O 1.970 -3.435 0.977
O -0.674 -0.469 1.737
O 0.773 -2.024 3.455
O -2.001 -2.757 0.603
O -0.653 -4.483 2.237
```

---

What should be chosen as the least stable of them? Choose entry 1.

---

Entry 1
Material: Hf2AlS
Method: DFT, SCAN
State: PBEsol geometry

total magnetic moment: 0.0003 μB/atom

Structure (extended XYZ):
```
4
Lattice="-0.738 -0.499 -4.552 -3.310 -2.876 -1.511 -3.858 1.711 -1.925" Properties=species:S:1:pos:R:3 pbc="T T T"
S -3.953 -0.832 -3.994
Hf -1.977 -0.416 -1.997
Hf -5.930 -1.248 -5.991
Al 0.000 0.000 0.000
```

---

Entry 2
Material: Hf2AlS
Method: DFT, SCAN
State: PBEsol geometry

total magnetic moment: 0.0000 μB/atom

Structure (extended XYZ):
```
8
Lattice="5.265 0.000 0.000 0.000 5.265 0.000 -2.632 -2.632 7.063" Properties=species:S:1:pos:R:3 pbc="T T T"
S 0.000 2.632 3.531
S 0.000 0.000 0.000
Hf 1.034 3.949 1.766
Hf 4.231 1.316 1.766
Hf -1.316 -1.599 5.297
Hf 1.316 1.599 5.297
Al 2.632 0.000 3.531
Al 2.632 2.632 0.000
```

---

What should be chosen as the least stable of them? Choose entry 2.

---

Entry 1
Material: AlInHg2
Method: DFT, SCAN
State: PBEsol geometry

total magnetic moment: 0.0000 μB/atom

Structure (extended XYZ):
```
4
Lattice="3.441 0.000 0.000 1.720 2.980 0.000 1.720 0.993 8.458" Properties=species:S:1:pos:R:3 pbc="T T T"
Hg 1.720 0.993 1.934
Hg 5.161 2.980 6.524
Al 0.000 0.000 0.000
In 3.441 1.986 4.229
```

---

Entry 2
Material: AlInHg2
Method: DFT, SCAN
State: PBEsol geometry

total magnetic moment: 0.0000 μB/atom

Structure (extended XYZ):
```
4
Lattice="3.207 0.000 0.000 0.000 4.416 -0.028 -1.604 -2.205 6.444" Properties=species:S:1:pos:R:3 pbc="T T T"
Hg 1.604 2.191 5.721
Hg 1.604 0.012 2.984
Al 0.000 2.224 3.406
In 1.604 2.202 0.706
```

---

Entry 3
Material: AlInHg2
Method: DFT, SCAN
State: PBEsol geometry

total magnetic moment: 0.0000 μB/atom

Structure (extended XYZ):
```
4
Lattice="-0.577 -2.749 -1.648 3.060 1.064 -0.323 2.488 -4.925 7.342" Properties=species:S:1:pos:R:3 pbc="T T T"
Al 1.242 -0.842 -0.986
Hg 0.575 -1.138 1.696
Hg 1.913 -3.787 5.646
In 2.486 -3.304 2.686
```

---

What should be chosen as the least stable of them? Choose entry 3.

---

Entry 1
Material: Li2AlHg2
Method: DFT, SCAN
State: PBEsol geometry

total magnetic moment: 0.0000 μB/atom

Structure (extended XYZ):
```
10
Lattice="-0.186 -0.661 -3.236 7.221 0.484 -0.513 0.576 -7.092 1.415" Properties=species:S:1:pos:R:3 pbc="T T T"
Li 3.133 -5.958 1.037
Li 6.611 -4.086 0.455
Li 4.663 -0.651 -0.135
Li 1.185 -2.523 0.447
Hg 1.448 -4.939 -0.765
Hg 5.161 -5.963 -0.769
Hg 6.163 -2.331 -1.568
Hg 2.450 -1.306 -1.565
Al 0.000 0.000 0.000
Al 3.898 -3.304 0.451
```

---

Entry 2
Material: Li2AlHg2
Method: DFT, SCAN
State: PBEsol geometry

total magnetic moment: 0.0008 μB/atom

Structure (extended XYZ):
```
10
Lattice="-2.053 -0.875 -2.393 -5.158 -1.620 5.017 -2.526 6.920 -0.364" Properties=species:S:1:pos:R:3 pbc="T T T"
Li -3.484 3.846 -0.655
Li -6.541 4.345 1.785
Li -6.253 0.579 2.915
Li -3.196 0.080 0.475
Hg -3.993 5.343 1.471
Hg -6.040 3.077 4.056
Hg -3.691 -0.042 3.182
Hg -1.644 2.224 0.597
Al 0.000 0.000 0.000
Al -3.842 2.650 2.327
```

---

What should be chosen as the least stable of them? Choose entry 1.

---

Entry 1
Material: Mg2AlHg
Method: DFT, SCAN
State: PBEsol geometry

total magnetic moment: 0.0000 μB/atom

Structure (extended XYZ):
```
4
Lattice="-2.082 -1.300 -1.928 2.249 -0.470 -2.112 1.538 -7.299 3.261" Properties=species:S:1:pos:R:3 pbc="T T T"
Mg 1.153 -5.472 2.444
Mg 0.385 -1.828 0.817
Hg 0.852 -4.534 -0.390
Al 0.084 -0.885 -2.020
```

---

Entry 2
Material: Mg2AlHg
Method: DFT, SCAN
State: PBEsol geometry

total magnetic moment: 0.0146 μB/atom

Structure (extended XYZ):
```
4
Lattice="3.273 0.000 0.000 0.000 4.807 0.000 0.000 0.000 5.010" Properties=species:S:1:pos:R:3 pbc="T T T"
Mg 0.000 0.000 0.323
Mg 0.000 2.404 3.417
Hg 1.636 2.404 0.967
Al 1.636 0.000 2.808
```

---

Entry 3
Material: Mg2AlHg
Method: DFT, SCAN
State: PBEsol geometry

total magnetic moment: 0.0000 μB/atom

Structure (extended XYZ):
```
4
Lattice="4.357 0.000 0.000 0.000 4.357 0.000 -2.179 -2.179 4.131" Properties=species:S:1:pos:R:3 pbc="T T T"
Mg 2.179 0.000 2.066
Mg 0.000 2.179 2.066
Hg 0.000 0.000 0.000
Al 2.179 2.179 0.000
```

---

What should be chosen as the least stable of them? Choose entry 1.